Here is a relaxed structure of RbMoN2F from the Alexandria database. Energies are from PBE with a Hubbard U.

Output
Symmetry = No. 123
E_tot = -3.4237 eV per atom
Energy above the lowest structure with this stoichiometry = 2.2899 eV per atom
V = 20.9 A^3/atom

a = 4.6810 Å, b = 4.6810 Å, c = 4.7662 Å
α = 90.00°, β = 90.00°, γ = 90.00°
Last column: nearest neighbours and their distance in Å.
Fractional coordinates of all 5 atoms:
Mo: 0.5000 0.5000 0.5000  4 F 3.31, 8 N 3.34
N: 0.0000 0.5000 0.0000  2 Rb 2.34
N: 0.5000 0.0000 0.0000  2 Rb 2.34
Rb: 0.0000 0.0000 0.0000  4 N 2.34, 2 F 2.38
F: 0.0000 0.0000 0.5000  2 Rb 2.38